20
Lattice="-5.649 -4.794 4.493 5.991 -5.441 1.724 1.902 4.199 6.871" Properties=species:S:1:pos:R:3 comment="La3GeAs | Alexandria via LeMat-Bulk | PBE-GGA | optimized geometry" total_energy_ev_per_atom=-5.719 de_polymorph_mev_per_atom=0 magnetic_moment_mub_per_cell=0.00 vol_a3_per_cell=593 n_ef_per_ev_cell=20.021 pbc="T T T"
La 1.618 -7.173 4.102
La 1.084 -9.000 7.101
La 0.626 1.137 8.987
La 1.160 2.964 5.988
La -1.934 -5.966 4.918
La 2.812 -5.909 8.581
La 4.177 -0.070 8.171
La -0.568 -0.127 4.508
La 0.946 -2.571 8.168
La -2.330 -3.966 8.179
La 1.298 -3.465 4.921
La 4.574 -2.070 4.910
Ge 0.806 -4.607 10.620
Ge -1.805 -2.842 5.241
Ge 1.437 -1.429 2.469
Ge 4.048 -3.194 7.848
As 3.938 -5.130 3.654
As -1.695 -0.906 9.435
As 1.897 -0.317 6.223
As 0.347 -5.719 6.866

=====

4
Lattice="4.880 0.000 0.000 2.440 4.226 0.000 2.440 1.409 4.865" Properties=species:S:1:pos:R:3 comment="LiPuSb2 | Alexandria via LeMat-Bulk | PBE-GGA | optimized geometry" total_energy_ev_per_atom=-6.549 de_polymorph_mev_per_atom=147 raw_formation_energy_ev_per_fu=-1.704 magnetic_moment_mub_per_cell=5.35 vol_a3_per_cell=100 n_ef_per_ev_cell=11.075 pbc="T T T"
Sb 2.440 1.409 1.082
Sb 7.320 4.226 3.784
Li 0.000 0.000 0.000
Pu 4.880 2.818 2.433

=====

16
Lattice="-5.869 -0.524 -0.691 0.830 -0.186 -6.911 0.947 -11.152 0.414" Properties=species:S:1:pos:R:3 comment="Sm4YIn3 | Alexandria via LeMat-Bulk | PBE-GGA | optimized geometry" total_energy_ev_per_atom=-4.511 de_polymorph_mev_per_atom=37 magnetic_moment_mub_per_cell=0.00 vol_a3_per_cell=463 n_ef_per_ev_cell=19.775 pbc="T T T"
Y 0.415 -0.093 -3.456
Y 0.888 -5.669 -3.249
Sm -2.310 -0.402 -5.551
Sm -1.836 -5.978 -5.344
Sm -2.730 -0.308 -2.051
Sm -2.257 -5.884 -1.844
Sm 0.556 -8.575 -5.027
Sm -4.220 -3.383 -5.741
Sm -4.649 -3.287 -2.161
Sm 0.127 -8.479 -1.447
In 0.000 0.000 0.000
In 0.473 -5.576 0.207
In -3.065 -8.701 -0.134
In -1.858 -2.975 -0.143
In -2.681 -8.797 -3.593
In -1.412 -3.065 -3.595

=====

12
Lattice="-4.598 5.450 -4.964 8.381 -1.473 -1.777 -5.806 -6.035 -1.247" Properties=species:S:1:pos:R:3 comment="Ac8HIr3 | Alexandria via LeMat-Bulk | PBE-GGA | optimized geometry" total_energy_ev_per_atom=-5.698 magnetic_moment_mub_per_cell=0.00 vol_a3_per_cell=448 n_ef_per_ev_cell=10.472 pbc="T T T"
Ac -1.337 -3.982 -3.133
Ac -0.687 1.924 -4.855
Ac -5.530 -3.230 -2.273
Ac -7.801 -0.539 -4.724
Ac -3.662 -1.267 -5.603
Ac 1.638 -0.791 -2.386
Ac 5.777 -1.519 -3.264
Ac 3.506 1.173 -5.715
H 0.000 0.000 0.000
Ir -2.299 2.725 -2.482
Ir 1.891 1.989 -3.370
Ir 4.190 -0.736 -0.888

=====

7
Lattice="-4.480 1.356 -2.969 -2.731 -4.319 2.148 -5.238 1.441 3.389" Properties=species:S:1:pos:R:3 comment="Ge4TeH2 | Alexandria via LeMat-Bulk | PBE-GGA | optimized geometry" total_energy_ev_per_atom=-3.268 magnetic_moment_mub_per_cell=0.00 vol_a3_per_cell=156 n_ef_per_ev_cell=4.535 pbc="T T T"
H -8.708 -0.283 2.663
H -3.741 -1.239 -0.095
Ge -8.127 -1.323 1.311
Ge -4.322 -0.199 1.257
Ge -1.365 -2.159 1.074
Ge -2.240 0.678 -1.484
Te 0.000 0.000 0.000

=====

8
Lattice="3.687 0.000 0.000 0.000 3.687 0.000 1.844 1.844 6.375" Properties=species:S:1:pos:R:3 comment="ScPH2 | Alexandria via LeMat-Bulk | PBE-GGA | optimized geometry" total_energy_ev_per_atom=-4.819 de_polymorph_mev_per_atom=0 magnetic_moment_mub_per_cell=0.00 vol_a3_per_cell=87 n_ef_per_ev_cell=0.321 pbc="T T T"
Sc 0.000 0.000 0.000
Sc 3.687 1.844 3.188
P 1.844 1.844 0.000
P 1.844 3.687 3.188
H 2.685 0.922 1.594
H 1.002 2.766 1.594
H 2.766 2.846 4.781
H 4.609 4.529 4.781

=====

6
Lattice="1.901 -4.580 2.215 3.648 -4.012 -0.300 7.472 -0.099 5.169" Properties=species:S:1:pos:R:3 comment="ReCl | Alexandria via LeMat-Bulk | PBE-GGA | optimized geometry" total_energy_ev_per_atom=-6.847 de_polymorph_mev_per_atom=411 raw_formation_energy_ev_per_fu=0.600 magnetic_moment_mub_per_cell=0.00 vol_a3_per_cell=123 n_ef_per_ev_cell=3.271 pbc="T T T"
Re 3.990 -3.107 2.070
Re 2.905 -0.359 1.937
Re 5.030 -6.165 2.102
Cl 5.559 -8.474 1.948
Cl 8.048 -6.535 4.115
Cl 8.231 -2.781 5.090

=====

3
Lattice="-0.059 3.933 4.385 -2.363 4.526 2.939 -1.548 -1.226 1.963" Properties=species:S:1:pos:R:3 comment="ZnReRh | Alexandria via LeMat-Bulk | PBE-GGA | optimized geometry" total_energy_ev_per_atom=-7.081 de_polymorph_mev_per_atom=117 magnetic_moment_mub_per_cell=0.00 vol_a3_per_cell=43 n_ef_per_ev_cell=2.454 pbc="T T T"
Re -2.417 8.409 7.297
Rh -1.842 2.031 3.766
Zn -2.132 5.252 5.549

=====

14
Lattice="4.096 0.000 0.000 0.000 8.910 -0.499 0.000 -0.068 11.883" Properties=species:S:1:pos:R:3 comment="Ce3RuBr3 | Alexandria via LeMat-Bulk | PBE-GGA | optimized geometry" total_energy_ev_per_atom=-5.759 raw_formation_energy_ev_per_fu=-8.216 magnetic_moment_mub_per_cell=2.31 vol_a3_per_cell=434 n_ef_per_ev_cell=38.717 pbc="T T T"
Ce 1.024 2.891 7.248
Ce 3.072 5.951 4.136
Ce 1.024 7.978 6.836
Ce 3.072 0.864 4.548
Ce 1.024 7.823 1.355
Ce 3.072 1.019 10.029
Ru 1.024 7.833 4.042
Ru 3.072 1.009 7.342
Br 1.024 3.439 4.179
Br 3.072 5.403 7.205
Br 1.024 7.686 10.051
Br 3.072 1.156 1.333
Br 1.024 3.241 10.262
Br 3.072 5.601 1.122

=====

10
Lattice="-2.087 -5.400 -3.035 4.665 0.737 -4.519 2.565 -2.272 2.277" Properties=species:S:1:pos:R:3 comment="BeGa2Au2 | Alexandria via LeMat-Bulk | PBE-GGA | optimized geometry" total_energy_ev_per_atom=-3.227 de_polymorph_mev_per_atom=0 magnetic_moment_mub_per_cell=0.00 vol_a3_per_cell=176 n_ef_per_ev_cell=3.848 pbc="T T T"
Be 0.000 0.000 0.000
Be 1.289 -2.331 -3.777
Au 3.168 -1.143 -4.708
Au 1.433 -3.952 -5.556
Au -0.590 -3.520 -2.846
Au 1.145 -0.711 -1.998
Ga 3.993 -1.451 -2.229
Ga 3.914 -3.998 -4.680
Ga 1.150 -5.483 -3.048
Ga 1.229 -2.936 -0.597

=====

16
Lattice="-0.995 3.290 5.849 5.690 -2.868 2.581 0.343 3.463 -5.824" Properties=species:S:1:pos:R:3 comment="Ca4Pu3RhN8 | Alexandria via LeMat-Bulk | PBE-GGA | optimized geometry" total_energy_ev_per_atom=-8.779 raw_formation_energy_ev_per_fu=-15.513 magnetic_moment_mub_per_cell=11.01 vol_a3_per_cell=225 n_ef_per_ev_cell=18.577 pbc="T T T"
Ca -0.497 1.645 2.925
Ca -0.326 3.376 0.013
Ca 0.000 0.000 0.000
Ca 0.171 1.732 -2.912
Pu 2.348 0.211 4.215
Pu 2.519 1.942 1.303
Pu 3.016 0.298 -1.621
Rh 2.845 -1.434 1.290
N 4.179 2.117 -2.400
N 4.013 0.427 0.442
N 1.514 1.853 -0.785
N 3.694 3.722 0.455
N 1.344 0.162 2.152
N 3.524 2.032 3.391
N 1.025 3.457 2.164
N 0.859 1.768 5.006

=====

5
Lattice="-0.992 -1.812 -3.818 2.982 -3.079 0.687 -2.995 -2.465 1.949" Properties=species:S:1:pos:R:3 comment="ScCu3P | Alexandria via LeMat-Bulk | PBE-GGA | optimized geometry" total_energy_ev_per_atom=-4.735 de_polymorph_mev_per_atom=0 magnetic_moment_mub_per_cell=0.00 vol_a3_per_cell=82 n_ef_per_ev_cell=3.642 pbc="T T T"
Sc -0.503 -3.679 -0.591
P 0.000 0.000 0.000
Cu 1.491 -1.540 0.343
Cu -1.497 -1.233 0.974
Cu -0.496 -0.906 -1.909

=====

4
Lattice="-0.676 2.250 1.762 -0.354 -0.981 2.745 9.078 1.143 0.781" Properties=species:S:1:pos:R:3 comment="PuTi2Nb | Alexandria via LeMat-Bulk | PBE-GGA | optimized geometry" total_energy_ev_per_atom=-9.932 de_polymorph_mev_per_atom=2 magnetic_moment_mub_per_cell=4.46 vol_a3_per_cell=74 n_ef_per_ev_cell=8.368 pbc="T T T"
Pu 3.895 1.364 3.207
Ti 6.822 0.962 0.925
Ti 1.999 0.498 0.982
Nb -0.643 0.793 2.816

=====

4
Lattice="-2.859 -1.488 0.720 1.244 -2.884 -1.020 1.860 -1.046 5.227" Properties=species:S:1:pos:R:3 comment="Cu2ReSb | Alexandria via LeMat-Bulk | PBE-GGA | optimized geometry" total_energy_ev_per_atom=-5.807 raw_formation_energy_ev_per_fu=1.533 magnetic_moment_mub_per_cell=0.00 vol_a3_per_cell=62 n_ef_per_ev_cell=2.321 pbc="T T T"
Cu 0.059 -0.033 0.166
Cu -0.382 -2.425 1.046
Re 0.923 -0.519 2.593
Sb 0.575 -2.963 3.735

=====

12
Lattice="4.422 -0.163 0.039 1.896 3.998 0.039 0.409 0.248 12.032" Properties=species:S:1:pos:R:3 comment="NdZn8Ga2Pd | Alexandria via LeMat-Bulk | PBE-GGA | optimized geometry" total_energy_ev_per_atom=-2.377 magnetic_moment_mub_per_cell=0.00 vol_a3_per_cell=216 n_ef_per_ev_cell=2.516 pbc="T T T"
Nd 0.204 0.124 6.016
Zn 3.603 0.754 9.862
Zn 4.567 2.773 11.571
Zn 4.504 2.735 8.131
Zn 2.222 1.349 3.979
Zn 2.159 1.311 0.539
Zn 2.331 2.849 9.862
Zn 4.395 1.235 2.248
Zn 3.123 3.329 2.248
Ga 4.434 2.692 4.404
Ga 2.293 1.392 7.706
Pd 0.000 0.000 0.000

=====

6
Lattice="-8.925 2.209 0.091 -0.183 -0.597 -3.435 -0.819 -3.337 0.624" Properties=species:S:1:pos:R:3 comment="ScAg5 | Alexandria via LeMat-Bulk | PBE-GGA | optimized geometry" total_energy_ev_per_atom=-3.517 magnetic_moment_mub_per_cell=0.00 vol_a3_per_cell=112 n_ef_per_ev_cell=2.502 pbc="T T T"
Ag -0.042 0.010 0.000
Ag -2.014 -1.593 -1.390
Ag -2.975 0.736 0.030
Ag -4.938 -0.869 -1.361
Ag -5.908 1.462 0.060
Sc -7.939 -0.126 -1.330

=====

4
Lattice="4.476 0.001 -0.001 2.239 3.876 -0.001 2.237 1.291 10.920" Properties=species:S:1:pos:R:3 comment="Cs2NaF | Alexandria via LeMat-Bulk | PBE-GGA | optimized geometry" total_energy_ev_per_atom=-2.457 de_polymorph_mev_per_atom=38 raw_formation_energy_ev_per_fu=-4.932 magnetic_moment_mub_per_cell=0.00 vol_a3_per_cell=189 n_ef_per_ev_cell=1.377 pbc="T T T"
Cs 2.237 1.291 9.190
Cs 2.238 1.292 1.728
Na 4.476 2.584 5.459
F 4.476 2.584 0.000

=====

5
Lattice="-2.072 2.847 3.422 0.375 -3.650 3.263 3.065 1.044 4.509" Properties=species:S:1:pos:R:3 comment="BaCr2Se2 | Alexandria via LeMat-Bulk | PBE-GGA | optimized geometry" total_energy_ev_per_atom=-5.979 raw_formation_energy_ev_per_fu=-1.757 magnetic_moment_mub_per_cell=1.43 vol_a3_per_cell=104 n_ef_per_ev_cell=4.250 pbc="T T T"
Cr 0.001 -0.088 3.596
Cr 1.368 0.329 7.599
Ba 0.000 0.000 0.000
Se 0.073 1.745 5.637
Se 1.296 -1.503 5.558

=====

4
Lattice="-2.439 -0.815 -0.120 1.055 -0.002 2.349 -2.603 7.614 1.176" Properties=species:S:1:pos:R:3 comment="BeCu2Ir | Alexandria via LeMat-Bulk | PBE-GGA | optimized geometry" total_energy_ev_per_atom=-5.067 magnetic_moment_mub_per_cell=0.00 vol_a3_per_cell=49 n_ef_per_ev_cell=2.285 pbc="T T T"
Be -2.644 5.302 1.996
Ir -1.343 1.495 1.408
Cu -2.529 7.400 1.143
Cu -1.375 4.022 0.621

=====

20
Lattice="3.616 0.000 0.000 0.000 11.675 0.000 0.000 0.000 11.675" Properties=species:S:1:pos:R:3 comment="Ho5Tl2Rh2Au | Alexandria via LeMat-Bulk | PBE-GGA | optimized geometry" total_energy_ev_per_atom=-5.204 magnetic_moment_mub_per_cell=0.00 vol_a3_per_cell=493 n_ef_per_ev_cell=7.314 pbc="T T T"
Ho 1.808 2.323 0.911
Ho 1.808 9.352 10.765
Ho 1.808 0.911 9.352
Ho 1.808 8.161 4.927
Ho 1.808 10.765 2.323
Ho 1.808 3.515 6.748
Ho 1.808 6.748 8.161
Ho 1.808 4.927 3.515
Ho 1.808 5.838 0.000
Ho 1.808 0.000 5.838
Tl 0.000 7.835 1.997
Tl 0.000 3.841 9.678
Tl 0.000 1.997 3.841
Tl 0.000 9.678 7.835
Rh 0.000 1.563 7.400
Rh 0.000 10.112 4.275
Rh 0.000 7.400 10.112
Rh 0.000 4.275 1.563
Au 0.000 0.000 0.000
Au 0.000 5.838 5.838